No. 1
Compound: TaNb3W
Source: Alexandria
Functional: PBE-GGA
Structure: optimized geometry

The structure in CIF format:
```
data_TaNb3W
_cell_length_a 16.542
_cell_length_b 3.211
_cell_length_c 7.284
_cell_angle_alpha 90.00
_cell_angle_beta 105.61
_cell_angle_gamma 90.00
_symmetry_space_group_name_H-M 'C 1 2/m 1'
_symmetry_Int_Tables_number 12
_symmetry_space_group_name_Hall '-C 2y'
loop_
_atom_site_label
_atom_site_type_symbol
_atom_site_fract_x
_atom_site_fract_y
_atom_site_fract_z
Ta1 Ta 0.125 0.000 0.173
Nb1 Nb 0.041 0.000 0.734
Nb2 Nb 0.183 0.500 0.907
Nb3 Nb 0.225 0.000 0.629
W1 W 0.090 0.500 0.453
```

Calculated values
Its formation energy is 0.21 eV per atom. The calculation puts the uncorrected energy at -53.98 eV per formula unit.

***

No. 2
Compound: Ta3NbW
Source: Alexandria
Functional: PBE-GGA
Structure: optimized geometry

The structure in CIF format:
```
data_Ta3NbW
_cell_length_a 13.534
_cell_length_b 4.634
_cell_length_c 5.714
_cell_angle_alpha 90.00
_cell_angle_beta 97.90
_cell_angle_gamma 90.00
_symmetry_space_group_name_H-M 'C 1 2/m 1'
_symmetry_Int_Tables_number 12
_symmetry_space_group_name_Hall '-C 2y'
loop_
_atom_site_label
_atom_site_type_symbol
_atom_site_fract_x
_atom_site_fract_y
_atom_site_fract_z
Ta1 Ta 0.003 0.000 0.253
Ta2 Ta 0.101 0.500 0.952
Ta3 Ta 0.200 0.000 0.645
Nb1 Nb 0.200 0.000 0.149
W1 W 0.097 0.500 0.453
```

Calculated values
Its formation energy is -0.04 eV per atom. The calculation puts the uncorrected energy at -58.79 eV per formula unit.

***

No. 3
Compound: TaNbW
Source: Alexandria
Functional: PBE-GGA
Structure: optimized geometry

The structure in CIF format:
```
data_TaNbW
_cell_length_a 3.264
_cell_length_b 5.434
_cell_length_c 6.493
_cell_angle_alpha 72.81
_cell_angle_beta 89.82
_cell_angle_gamma 72.65
_symmetry_space_group_name_H-M 'P -1'
_symmetry_Int_Tables_number 2
_symmetry_space_group_name_Hall '-P 1'
loop_
_atom_site_label
_atom_site_type_symbol
_atom_site_fract_x
_atom_site_fract_y
_atom_site_fract_z
Ta1 Ta 0.161 0.179 0.081
Nb1 Nb 0.163 0.174 0.581
W1 W 0.498 0.504 0.250
```

Calculated values
Its formation energy is -0.06 eV per atom. The calculation puts the uncorrected energy at -35.06 eV per formula unit.

***

No. 4
Compound: TaNb4W4
Source: Alexandria
Functional: PBE-GGA
Structure: optimized geometry

The structure in CIF format:
```
data_TaNb4W4
_cell_length_a 9.773
_cell_length_b 9.773
_cell_length_c 3.237
_cell_angle_alpha 90.00
_cell_angle_beta 90.00
_cell_angle_gamma 90.00
_symmetry_space_group_name_H-M 'I 4/m m m'
_symmetry_Int_Tables_number 139
_symmetry_space_group_name_Hall '-I 4 2'
loop_
_atom_site_label
_atom_site_type_symbol
_atom_site_fract_x
_atom_site_fract_y
_atom_site_fract_z
Ta1 Ta 0.000 0.000 0.000
Nb1 Nb 0.000 0.328 0.000
W1 W 0.168 0.168 0.500
```

Calculated values
Its formation energy is -0.07 eV per atom. The calculation puts the uncorrected energy at -104.59 eV per formula unit.

***

No. 5
Compound: TaNb2W
Source: Alexandria
Functional: PBE-GGA
Structure: optimized geometry

The structure in CIF format:
```
data_TaNb2W
_cell_length_a 7.391
_cell_length_b 7.391
_cell_length_c 5.581
_cell_angle_alpha 90.00
_cell_angle_beta 90.00
_cell_angle_gamma 90.00
_symmetry_space_group_name_H-M 'I -4 2 d'
_symmetry_Int_Tables_number 122
_symmetry_space_group_name_Hall 'I -4 2bw'
loop_
_atom_site_label
_atom_site_type_symbol
_atom_site_fract_x
_atom_site_fract_y
_atom_site_fract_z
Ta1 Ta 0.000 0.000 0.000
Nb1 Nb 0.236 0.250 0.625
W1 W 0.000 0.000 0.500
```

Calculated values
Its formation energy is 0.72 eV per atom. The calculation puts the uncorrected energy at -42.05 eV per formula unit.

***

No. 6
Compound: TaNb5W
Source: Alexandria
Functional: PBE-GGA
Structure: optimized geometry

The structure in CIF format:
```
data_TaNb5W
_cell_length_a 7.295
_cell_length_b 8.227
_cell_length_c 9.149
_cell_angle_alpha 90.00
_cell_angle_beta 108.74
_cell_angle_gamma 90.00
_symmetry_space_group_name_H-M 'C 1 2/c 1'
_symmetry_Int_Tables_number 15
_symmetry_space_group_name_Hall '-C 2yc'
loop_
_atom_site_label
_atom_site_type_symbol
_atom_site_fract_x
_atom_site_fract_y
_atom_site_fract_z
Ta1 Ta 0.000 0.244 0.250
Nb1 Nb 0.000 0.399 0.750
Nb2 Nb 0.103 0.085 0.642
Nb3 Nb 0.183 0.427 0.550
W1 W 0.250 0.250 0.000
```

Calculated values
Its formation energy is 0.31 eV per atom. The calculation puts the uncorrected energy at -72.99 eV per formula unit.

***

No. 7
Compound: TaNbW3
Source: Alexandria
Functional: PBE-GGA
Structure: optimized geometry

The structure in CIF format:
```
data_TaNbW3
_cell_length_a 4.715
_cell_length_b 4.715
_cell_length_c 4.715
_cell_angle_alpha 90.00
_cell_angle_beta 90.00
_cell_angle_gamma 90.00
_symmetry_space_group_name_H-M 'P m -3 m'
_symmetry_Int_Tables_number 221
_symmetry_space_group_name_Hall '-P 4 2 3'
loop_
_atom_site_label
_atom_site_type_symbol
_atom_site_fract_x
_atom_site_fract_y
_atom_site_fract_z
Ta1 Ta 0.000 0.000 0.000
Nb1 Nb 0.500 0.500 0.500
W1 W 0.000 0.500 0.500
```

Calculated values
Its formation energy is 2.21 eV per atom. The calculation puts the uncorrected energy at -49.73 eV per formula unit.

***

No. 8
Compound: TaNbW3
Source: Alexandria
Functional: PBE-GGA
Structure: optimized geometry

The structure in CIF format:
```
data_TaNbW3
_cell_length_a 13.831
_cell_length_b 12.600
_cell_length_c 4.471
_cell_angle_alpha 90.00
_cell_angle_beta 108.18
_cell_angle_gamma 90.00
_symmetry_space_group_name_H-M 'C 1 2/c 1'
_symmetry_Int_Tables_number 15
_symmetry_space_group_name_Hall '-C 2yc'
loop_
_atom_site_label
_atom_site_type_symbol
_atom_site_fract_x
_atom_site_fract_y
_atom_site_fract_z
Ta1 Ta 0.000 0.063 0.250
Ta2 Ta 0.000 0.200 0.750
Nb1 Nb 0.134 0.435 0.391
W1 W 0.167 0.190 0.418
W2 W 0.168 0.316 0.922
W3 W 0.176 0.061 0.925
```

Calculated values
Its formation energy is 0.40 eV per atom. The calculation puts the uncorrected energy at -58.76 eV per formula unit.

***

> What is the formula in the fourth record?

TaNb4W4

***

> The highest uncorrected energy belongs to which entry?

TaNbW

***

> What is the uncorrected energy in the seventh record?

-49.73 eV per formula unit